First-principles (GGA+U) data for CoRuO3 after structural relaxation, as listed in Alexandria. Values from VASP.

Quantum ESPRESSO input file:
```
&SYSTEM
  ibrav = 0, nat = 5, ntyp = 3
/
ATOMIC_SPECIES
Co 58.93 Co.upf
Ru 101.07 Ru.upf
O 16.00 O.upf
ATOMIC_POSITIONS angstrom
Co 0.000 0.000 0.000
Ru 1.833 1.833 1.833
O 0.000 0.000 1.833
O 0.000 1.833 0.000
O 1.833 0.000 0.000
CELL_PARAMETERS angstrom
3.667 0.000 0.000
0.000 3.667 0.000
0.000 0.000 3.667
```

Values from the calculation:
space group: No. 221
crystal system: cubic
VASP energy: -28.9 eV for the cell shown